A plane-wave DFT calculation with GGA-PBEsol was carried out for a relaxed structure of Cd4As. Values from VASP.

Structure (Quantum ESPRESSO input):
```
&SYSTEM
  ibrav = 0, nat = 5, ntyp = 2
/
ATOMIC_SPECIES
Cd 112.41 Cd.upf
As 74.92 As.upf
CELL_PARAMETERS angstrom
-3.161 3.161 3.161
3.161 -3.161 3.161
3.161 3.161 -3.161
ATOMIC_POSITIONS crystal
Cd 0.000 0.000 0.500
Cd 0.000 0.500 0.000
Cd 0.500 0.000 0.000
Cd 0.500 0.500 0.500
As 0.000 0.000 0.000
```

Computed properties:
* theoretical density: 6.9 g/cm³
* formation energy: 0.275 eV/atom
* N(E_F): 0.52 states/eV per atom

***

A plane-wave DFT calculation with GGA-PBEsol was carried out for a relaxed structure of ScAsRuSe2. Values from VASP.

Structure (Quantum ESPRESSO input):
```
&SYSTEM
  ibrav = 0, nat = 5, ntyp = 4
/
ATOMIC_SPECIES
Sc 44.96 Sc.upf
As 74.92 As.upf
Ru 101.07 Ru.upf
Se 78.96 Se.upf
CELL_PARAMETERS angstrom
4.939 0.000 0.000
0.000 4.939 0.000
0.000 0.000 5.001
ATOMIC_POSITIONS crystal
Sc 0.000 0.000 0.000
As 0.000 0.000 0.500
Ru 0.500 0.500 0.500
Se 0.000 0.500 0.000
Se 0.500 0.000 0.000
```

Computed properties:
* raw total energy: -26.10 eV per cell
* theoretical density: 5.2 g/cm³
* N(E_F): 1.25 states/eV per atom

***

A plane-wave DFT calculation with GGA-PBEsol was carried out for a relaxed structure of Sc2CdAg. Values from VASP.

Structure (Quantum ESPRESSO input):
```
&SYSTEM
  ibrav = 0, nat = 4, ntyp = 3
/
ATOMIC_SPECIES
Sc 44.96 Sc.upf
Cd 112.41 Cd.upf
Ag 107.87 Ag.upf
CELL_PARAMETERS angstrom
3.396 0.000 0.000
0.000 3.396 0.000
0.000 0.000 6.985
ATOMIC_POSITIONS crystal
Sc 0.000 0.000 0.238
Sc 0.000 0.000 0.762
Cd 0.500 0.500 0.500
Ag 0.500 0.500 0.000
```

Computed properties:
* theoretical density: 6.4 g/cm³
* formation energy: -0.312 eV/atom
* N(E_F): 0.86 states/eV per atom

***

A plane-wave DFT calculation with GGA-PBEsol was carried out for a relaxed structure of CrAs2PPb. Values from VASP.

Structure (Quantum ESPRESSO input):
```
&SYSTEM
  ibrav = 0, nat = 5, ntyp = 4
/
ATOMIC_SPECIES
Cr 52.00 Cr.upf
As 74.92 As.upf
P 30.97 P.upf
Pb 207.20 Pb.upf
CELL_PARAMETERS angstrom
4.688 0.000 0.000
0.000 4.688 0.000
0.000 0.000 5.363
ATOMIC_POSITIONS crystal
Cr 0.000 0.000 0.000
As 0.000 0.500 0.500
As 0.500 0.000 0.500
P 0.500 0.500 0.500
Pb 0.500 0.500 0.000
```

Computed properties:
* theoretical density: 6.2 g/cm³
* formation energy: 0.931 eV/atom
* N(E_F): 0.80 states/eV per atom